Below is a relaxed structure of CdIn2Pb, with properties calculated at the GGA-PBEsol level.

Output
Total magnetization in μB per formula unit: 0.00
ΔH_f (0 K) in meV/atom: 59.7

a b c (Å): 3.6713 5.2547 5.3509
angles (deg): 90.00 90.00 90.00
Fractional positions:
1 Cd 0.0000 0.5000 0.5000
2 In 0.0000 0.0000 0.0000
3 In 0.5000 0.5000 0.0000
4 Pb 0.5000 0.0000 0.5000



Below is a relaxed structure of CdInPb2, with properties calculated at the GGA-PBEsol level.

Output
Total magnetization in μB per formula unit: 0.00
ΔH_f (0 K) in meV/atom: 67.4
Energy above the most stable polymorph in this dataset in eV per formula unit: 0.13

a b c (Å): 3.3404 3.3404 10.6237
angles (deg): 90.00 90.00 114.76
Fractional positions:
1 In 0.5000 0.5000 0.0000
2 Pb 0.0000 0.0000 0.2592
3 Cd 0.5000 0.5000 0.5000
4 Pb 0.0000 0.0000 0.7408



Below is a relaxed structure of CdIn2Pb, with properties calculated at the GGA-PBEsol level.

Output
Total magnetization in μB per formula unit: 0.00
ΔH_f (0 K) in meV/atom: 55.9

a b c (Å): 3.6732 5.3346 6.1830
angles (deg): 115.56 107.28 90.00
Fractional positions:
1 Cd 0.7416 0.2416 0.4832
2 In 0.0092 0.0092 0.0183
3 Pb 0.4919 0.4919 0.9839
4 In 0.2573 0.7573 0.5146



Below is a relaxed structure of CdInPb2, with properties calculated at the GGA-PBEsol level.

Output
Total magnetization in μB per formula unit: 0.00
ΔH_f (0 K) in meV/atom: 68.0
Energy above the most stable polymorph in this dataset in eV per formula unit: 0.13

a b c (Å): 5.3302 5.3302 5.3302
angles (deg): 60.00 60.00 60.00
Fractional positions:
1 Pb 0.7500 0.7500 0.7500
2 Pb 0.2500 0.2500 0.2500
3 In 0.5000 0.5000 0.5000
4 Cd 0.0000 0.0000 0.0000



Below is a relaxed structure of CdInPb2, with properties calculated at the GGA-PBEsol level.

Output
Total magnetization in μB per formula unit: 0.00
ΔH_f (0 K) in meV/atom: 49.6
Energy above the most stable polymorph in this dataset in eV per formula unit: 0.06

a b c (Å): 4.7646 4.7646 5.7913
angles (deg): 114.29 114.29 90.00
Fractional positions:
1 Cd 0.5000 0.5000 0.0000
2 In 0.0000 0.0000 0.0000
3 Pb 0.2500 0.7500 0.5000
4 Pb 0.7500 0.2500 0.5000



Below is a relaxed structure of CdIn2Pb, with properties calculated at the GGA-PBEsol level.

Output
Total magnetization in μB per formula unit: 0.00
ΔH_f (0 K) in meV/atom: 33.9

a b c (Å): 3.3415 3.3415 10.8301
angles (deg): 81.13 81.13 60.00
Fractional positions:
1 In 0.9972 0.9972 0.0085
2 Cd 0.2529 0.2529 0.2412
3 In 0.7465 0.7465 0.7604
4 Pb 0.5034 0.5034 0.4899



Below is a relaxed structure of CdInPb2, with properties calculated at the GGA-PBEsol level.

Output
Total magnetization in μB per formula unit: 0.00
ΔH_f (0 K) in meV/atom: 70.1
Energy above the most stable polymorph in this dataset in eV per formula unit: 0.14

a b c (Å): 3.6328 5.5476 6.2938
angles (deg): 116.15 106.77 90.00
Fractional positions:
1 Pb 0.2417 0.2417 0.4834
2 In 0.0000 0.5000 0.0000
3 Cd 0.5000 0.0000 0.0000
4 Pb 0.7583 0.7583 0.5166



Below is a relaxed structure of CdInPb2, with properties calculated at the GGA-PBEsol level.

Output
Total magnetization in μB per formula unit: 0.00
ΔH_f (0 K) in meV/atom: 47.3
Energy above the most stable polymorph in this dataset in eV per formula unit: 0.05

a b c (Å): 3.4153 4.7008 7.2467
angles (deg): 90.00 113.03 90.00
Fractional positions:
1 Pb 0.2701 0.0000 0.2446
2 Cd 0.5000 0.5000 0.0000
3 Pb 0.7299 0.0000 0.7554
4 In 0.0000 0.5000 0.5000



Below is a relaxed structure of CdInPb, with properties calculated at the GGA-PBEsol level.

Output
Total magnetization in μB per formula unit: 0.00
ΔH_f (0 K) in meV/atom: 52.4
Energy above the most stable polymorph in this dataset in eV per formula unit: 0.04

a b c (Å): 3.3363 5.1851 5.1851
angles (deg): 120.00 90.00 90.00
Fractional positions:
1 In 0.8229 0.6667 0.3333
2 Pb 0.3305 0.3333 0.6667
3 Cd 0.8466 0.0000 0.0000



Below is a relaxed structure of CdInPb2, with properties calculated at the GGA-PBEsol level.

Output
Total magnetization in μB per formula unit: 0.00
ΔH_f (0 K) in meV/atom: 54.1
Energy above the most stable polymorph in this dataset in eV per formula unit: 0.07

a b c (Å): 3.5770 5.5012 6.3375
angles (deg): 115.72 106.39 90.00
Fractional positions:
1 Pb 0.7661 0.2661 0.5321
2 Cd 0.5081 0.5081 0.0163
3 Pb 0.9919 0.9919 0.9838
4 In 0.2339 0.7339 0.4678



Below is a relaxed structure of Cd2InPt, with properties calculated at the GGA-PBEsol level.

Output
Total magnetization in μB per formula unit: 0.00
ΔH_f (0 K) in meV/atom: -220.6

a b c (Å): 2.9387 4.5739 6.6978
angles (deg): 109.97 102.67 90.00
Fractional positions:
1 Pt 0.5000 0.0000 0.0000
2 Cd 0.7998 0.7998 0.5996
3 Cd 0.2002 0.2002 0.4004
4 In 0.0000 0.5000 0.0000



Below is a relaxed structure of Cd2InPt, with properties calculated at the GGA-PBEsol level.

Output
Total magnetization in μB per formula unit: 0.00
ΔH_f (0 K) in meV/atom: -114.6

a b c (Å): 4.7249 4.7249 4.7249
angles (deg): 60.00 60.00 60.00
Fractional positions:
1 Cd 0.0000 0.0000 0.0000
2 In 0.5000 0.5000 0.5000
3 Cd 0.7500 0.7500 0.7500
4 Pt 0.2500 0.2500 0.2500



Below is a relaxed structure of CdInPt2, with properties calculated at the GGA-PBEsol level.

Output
Total magnetization in μB per formula unit: 0.00
ΔH_f (0 K) in meV/atom: -370.9

a b c (Å): 2.9537 4.8691 4.8691
angles (deg): 105.20 90.00 90.00
Fractional positions:
1 Cd 0.5000 0.5000 0.5000
2 In 0.5000 0.0000 0.0000
3 Pt 0.0000 0.5000 0.0000
4 Pt 0.0000 0.0000 0.5000



Below is a relaxed structure of CdIn2Pt, with properties calculated at the GGA-PBEsol level.

Output
Total magnetization in μB per formula unit: 0.00
ΔH_f (0 K) in meV/atom: -96.4

a b c (Å): 3.9131 4.5169 4.5169
angles (deg): 100.50 90.00 90.00
Fractional positions:
1 In 0.0000 0.0000 0.5000
2 In 0.0000 0.5000 0.0000
3 Pt 0.5000 0.0000 0.0000
4 Cd 0.5000 0.5000 0.5000



Below is a relaxed structure of CdIn2Pt, with properties calculated at the GGA-PBEsol level.

Output
Total magnetization in μB per formula unit: 0.00
ΔH_f (0 K) in meV/atom: -91.8

a b c (Å): 4.3818 4.3818 5.1075
angles (deg): 115.40 115.40 90.00
Fractional positions:
1 Cd 0.0000 0.0000 0.0000
2 Pt 0.5000 0.5000 0.0000
3 In 0.2500 0.7500 0.5000
4 In 0.7500 0.2500 0.5000



Below is a relaxed structure of CdIn2Pt, with properties calculated at the GGA-PBEsol level.

Output
Total magnetization in μB per formula unit: 0.00
ΔH_f (0 K) in meV/atom: -121.1

a b c (Å): 3.6649 3.6735 5.8593
angles (deg): 90.00 90.16 90.00
Fractional positions:
1 In 0.0012 0.0000 0.7638
2 Pt 0.5000 0.5000 0.0000
3 In 0.9988 0.0000 0.2362
4 Cd 0.5000 0.5000 0.5000



Below is a relaxed structure of CdInPt2, with properties calculated at the GGA-PBEsol level.

Output
Total magnetization in μB per formula unit: 0.00
ΔH_f (0 K) in meV/atom: -365.4

a b c (Å): 2.9700 2.9700 7.6796
angles (deg): 90.00 90.00 90.00
Fractional positions:
1 In 0.5000 0.5000 0.5000
2 Cd 0.5000 0.5000 0.0000
3 Pt 0.0000 0.0000 0.2567
4 Pt 0.0000 0.0000 0.7433



Below is a relaxed structure of Cd2InPt, with properties calculated at the GGA-PBEsol level.

Output
Total magnetization in μB per formula unit: 0.00
ΔH_f (0 K) in meV/atom: -175.5

a b c (Å): 4.2574 4.2574 5.0654
angles (deg): 114.85 114.85 90.00
Fractional positions:
1 Pt 0.7500 0.2500 0.5000
2 In 0.5000 0.5000 0.0000
3 Cd 0.0000 0.0000 0.0000
4 Cd 0.2500 0.7500 0.5000



Below is a relaxed structure of Cd2InPt, with properties calculated at the GGA-PBEsol level.

Output
Total magnetization in μB per formula unit: 0.00
ΔH_f (0 K) in meV/atom: -28.9

a b c (Å): 3.0952 3.0952 9.6339
angles (deg): 80.76 80.76 60.00
Fractional positions:
1 Cd 0.7417 0.7417 0.7749
2 In 0.5000 0.5000 0.5000
3 Cd 0.2583 0.2583 0.2251
4 Pt 0.0000 0.0000 0.0000



Below is a relaxed structure of Cd2InPt, with properties calculated at the GGA-PBEsol level.

Output
Total magnetization in μB per formula unit: 0.00
ΔH_f (0 K) in meV/atom: -76.9

a b c (Å): 3.1196 3.1196 9.4167
angles (deg): 80.47 80.47 60.00
Fractional positions:
1 Pt 0.2498 0.2498 0.2507
2 Cd 0.9937 0.9937 0.0189
3 In 0.5079 0.5079 0.4764
4 Cd 0.7487 0.7487 0.7540



Below is a relaxed structure of CdInPt2, with properties calculated at the GGA-PBEsol level.

Output
Total magnetization in μB per formula unit: 0.00
ΔH_f (0 K) in meV/atom: -369.2

a b c (Å): 2.9590 3.8632 5.9121
angles (deg): 90.00 90.00 90.00
Fractional positions:
1 In 0.5000 0.5000 0.5000
2 Pt 0.0000 0.0000 0.7469
3 Pt 0.0000 0.0000 0.2531
4 Cd 0.5000 0.5000 0.0000



Below is a relaxed structure of CdInPt2, with properties calculated at the GGA-PBEsol level.

Output
Total magnetization in μB per formula unit: 0.00
ΔH_f (0 K) in meV/atom: -365.8

a b c (Å): 2.9355 4.7646 4.8596
angles (deg): 90.00 90.00 90.00
Fractional positions:
1 Cd 0.5000 0.0000 0.5868
2 Pt 0.0000 0.5000 0.6685
3 Pt 0.0000 0.0000 0.0813
4 In 0.5000 0.5000 0.1633



Below is a relaxed structure of RbCd2In2, with properties calculated at the GGA-PBEsol level.

Output
Total magnetization in μB per formula unit: 0.00
ΔH_f (0 K) in meV/atom: -58.9
Energy above the most stable polymorph in this dataset in eV per formula unit: 0.00

a b c (Å): 4.9207 4.9207 6.9368
angles (deg): 110.77 110.77 90.00
Fractional positions:
1 In 0.3790 0.3790 0.7580
2 Rb 0.0000 0.0000 0.0000
3 Cd 0.7500 0.2500 0.5000
4 In 0.6210 0.6210 0.2420
5 Cd 0.2500 0.7500 0.5000



Below is a relaxed structure of RbCd2In2, with properties calculated at the GGA-PBEsol level.

Output
Total magnetization in μB per formula unit: 0.00
ΔH_f (0 K) in meV/atom: -20.4
Energy above the most stable polymorph in this dataset in eV per formula unit: 0.19

a b c (Å): 3.1744 9.2314 9.2314
angles (deg): 90.00 90.00 90.00
Fractional positions:
1 In 0.0000 0.1368 0.3632
2 Cd 0.5000 0.3462 0.1538
3 In 0.0000 0.8632 0.6368
4 In 0.0000 0.3632 0.8632
5 Cd 0.5000 0.1538 0.6538
6 Rb 0.0000 0.5000 0.5000
7 In 0.0000 0.6368 0.1368
8 Cd 0.5000 0.8462 0.3462
9 Cd 0.5000 0.6538 0.8462
10 Rb 0.0000 0.0000 0.0000



Below is a relaxed structure of CdInRe2, with properties calculated at the GGA-PBEsol level.

Output
Total magnetization in μB per formula unit: 0.00
ΔH_f (0 K) in meV/atom: 717.0
Energy above the most stable polymorph in this dataset in eV per formula unit: 0.16

a b c (Å): 3.1136 4.5860 4.7007
angles (deg): 90.00 90.00 90.00
Fractional positions:
1 In 0.0000 0.5000 0.5000
2 Cd 0.5000 0.0000 0.5000
3 Re 0.0000 0.0000 0.0000
4 Re 0.5000 0.5000 0.0000



Below is a relaxed structure of Cd2InRe, with properties calculated at the GGA-PBEsol level.

Output
Total magnetization in μB per formula unit: 0.00
ΔH_f (0 K) in meV/atom: 530.4

a b c (Å): 2.9027 5.2668 5.2668
angles (deg): 114.18 90.00 90.00
Fractional positions:
1 Cd 0.0000 0.5000 0.0000
2 Cd 0.0000 0.0000 0.5000
3 In 0.5000 0.0000 0.0000
4 Re 0.5000 0.5000 0.5000



Below is a relaxed structure of Cd2InRe, with properties calculated at the GGA-PBEsol level.

Output
Total magnetization in μB per formula unit: 0.00
ΔH_f (0 K) in meV/atom: 465.7

a b c (Å): 2.8509 2.8509 11.2129
angles (deg): 90.00 90.00 119.50
Fractional positions:
1 Cd 0.0000 0.0000 0.0235
2 Re 0.5000 0.5000 0.2457
3 Cd 0.5000 0.5000 0.7626
4 In 0.0000 0.0000 0.4683



Below is a relaxed structure of CdInRe3, with properties calculated at the GGA-PBEsol level.

Output
Total magnetization in μB per formula unit: 2.32
ΔH_f (0 K) in meV/atom: 3054.4

a b c (Å): 4.7745 4.7745 4.7745
angles (deg): 90.00 90.00 90.00
Last column: magnetic moment on the atom in μB.
Fractional positions:
1 Re 0.5000 0.0000 0.0000  0.68
2 Re 0.0000 0.0000 0.5000  0.68
3 Re 0.0000 0.5000 0.0000  0.68
4 In 0.5000 0.5000 0.5000  -0.03
5 Cd 0.0000 0.0000 0.0000  0.02



Below is a relaxed structure of CdInRe2, with properties calculated at the GGA-PBEsol level.

Output
Total magnetization in μB per formula unit: 0.00
ΔH_f (0 K) in meV/atom: 678.3
Energy above the most stable polymorph in this dataset in eV per formula unit: 0.00

a b c (Å): 2.8631 2.8631 9.5725
angles (deg): 81.40 81.40 60.00
Fractional positions:
1 Cd 0.5000 0.5000 0.5000
2 In 0.0000 0.0000 0.0000
3 Re 0.2508 0.2508 0.2475
4 Re 0.7492 0.7492 0.7525



Below is a relaxed structure of Cd2InRh2, with properties calculated at the GGA-PBEsol level.

Output
Total magnetization in μB per formula unit: 0.00
ΔH_f (0 K) in meV/atom: -181.1

a b c (Å): 4.0463 6.6761 6.6761
angles (deg): 90.00 90.00 90.00
Fractional positions:
1 Cd 0.5000 0.1598 0.6598
2 In 0.0000 0.5000 0.5000
3 Rh 0.0000 0.8626 0.6374
4 Cd 0.5000 0.8402 0.3402
5 Rh 0.0000 0.3626 0.8626
6 Rh 0.0000 0.1374 0.3626
7 Cd 0.5000 0.3402 0.1598
8 Cd 0.5000 0.6598 0.8402
9 Rh 0.0000 0.6374 0.1374
10 In 0.0000 0.0000 0.0000